1.
A relaxed structure of ThCo4B. Source: the Alexandria database, functional GGA-PBE.

Structure (POSCAR):
```
ThCo4B
1.0
5.2556 0.0000 0.0000
0.0000 5.2556 0.0000
0.0000 0.0000 6.0713
Th Co B
2 8 2
Cartesian
0.0000 2.6278 0.0000
2.6278 0.0000 0.0000
0.0000 0.0000 1.1335
0.0000 0.0000 4.9378
0.8472 1.7806 3.0356
1.7806 4.4084 3.0356
2.6278 2.6278 1.1335
2.6278 2.6278 4.9378
3.4750 0.8472 3.0356
4.4084 3.4750 3.0356
0.0000 0.0000 3.0356
2.6278 2.6278 3.0356
```

Computed properties:
Total energy ... -85.405 eV for the cell shown
SG ... P4/mbm (127)
Theoretical density ... 9.48 g/cm3
Formation enthalpy at 0 K ... -0.030 eV/atom
Magnetization ... 0.5926 μB per atom

=====

2.
A relaxed structure of Th2Co5B4. Source: the Alexandria database, functional GGA-PBE.

Structure (POSCAR):
```
Th2Co5B4
1.0
4.9053 -2.5420 0.0000
4.9053 2.5420 0.0000
-4.1498 0.0000 5.4116
Th Co B
2 5 4
Cartesian
1.5149 0.0000 0.8296
4.1458 0.0000 4.5820
1.6377 1.2638 3.3938
4.0231 1.2638 2.0177
4.9053 0.0000 0.0000
1.6377 -1.2638 3.3938
4.0231 -1.2638 2.0177
-1.6588 0.0000 3.4945
0.0517 0.0000 3.4925
5.6091 0.0000 1.9191
7.3196 0.0000 1.9170
```

Computed properties:
Total energy ... -82.343 eV for the cell shown
SG ... C2/m (12)
Theoretical density ... 9.87 g/cm3
Formation enthalpy at 0 K ... -0.479 eV/atom
Magnetization ... 0.0002 μB per atom

=====

3.
A relaxed structure of ThCo5B3. Source: the Alexandria database, functional GGA-PBE.

Structure (POSCAR):
```
ThCo5B3
1.0
1.7416 -5.4793 0.0000
1.7416 5.4793 0.0000
0.0000 0.0000 10.4741
Th Co B
2 10 6
Cartesian
1.7416 3.6224 7.8556
1.7416 -3.6224 2.6185
0.0000 0.0000 0.0000
0.0000 0.0000 5.2371
1.7416 3.2914 0.7012
1.7416 3.2914 4.5358
1.7416 0.5574 6.7322
1.7416 0.5574 8.9790
1.7416 -0.5574 1.4951
1.7416 -0.5574 3.7419
1.7416 -3.2914 5.9383
1.7416 -3.2914 9.7729
1.7416 4.2879 2.6185
1.7416 1.3232 0.3608
1.7416 1.3232 4.8763
1.7416 -1.3232 5.5978
1.7416 -1.3232 10.1133
1.7416 -4.2879 7.8556
```

Computed properties:
Total energy ... -131.347 eV for the cell shown
SG ... Cmcm (63)
Theoretical density ... 9.29 g/cm3
Formation enthalpy at 0 K ... -0.299 eV/atom
Magnetization ... 0.2134 μB per atom

=====

4.
A relaxed structure of Th3Co7B2. Source: the Alexandria database, functional GGA-PBE.

Structure (POSCAR):
```
Th3Co7B2
1.0
2.0113 -10.6733 0.0000
2.0113 10.6733 0.0000
0.0000 0.0000 4.0082
Th Co B
3 7 2
Cartesian
0.0000 0.0000 0.0000
2.0113 6.7004 0.0000
2.0113 -6.7004 0.0000
2.0113 8.6847 2.0041
2.0113 4.0418 2.0041
2.0113 1.9985 0.0000
2.0113 0.0000 2.0041
2.0113 -1.9985 0.0000
2.0113 -4.0418 2.0041
2.0113 -8.6847 2.0041
2.0113 2.0590 2.0041
2.0113 -2.0590 2.0041
```

Computed properties:
Total energy ... -89.327 eV for the cell shown
SG ... Cmmm (65)
Theoretical density ... 10.91 g/cm3
Formation enthalpy at 0 K ... -0.331 eV/atom
Magnetization ... 0.0000 μB per atom

=====

5.
A relaxed structure of ThCoB2. Source: the Alexandria database, functional GGA-PBE.

Structure (POSCAR):
```
ThCoB2
1.0
5.8687 0.0000 0.0000
0.0000 3.2792 0.0000
0.0000 0.0000 10.5343
Th Co B
4 4 8
Cartesian
1.4054 0.8198 2.0794
1.5290 2.4594 7.3466
4.3397 0.8198 3.1878
4.4633 2.4594 8.4549
0.5420 2.4594 4.5158
2.3923 0.8198 9.7829
3.4764 2.4594 0.7514
5.3267 0.8198 6.0186
0.3556 0.8198 9.8906
1.2538 2.4594 10.3254
1.6806 0.8198 5.0582
2.5787 2.4594 4.6234
3.2900 0.8198 5.9109
4.1881 2.4594 5.4761
4.6149 0.8198 0.2089
5.5131 2.4594 0.6437
```

Computed properties:
Total energy ... -114.451 eV for the cell shown
SG ... Pnma (62)
Theoretical density ... 10.24 g/cm3
Formation enthalpy at 0 K ... -0.183 eV/atom
Magnetization ... 0.0000 μB per atom

=====

6.
A relaxed structure of ThCoB2. Source: the Alexandria database, functional GGA-PBE.

Structure (POSCAR):
```
ThCoB2
1.0
1.7362 1.0024 4.9666
-1.7362 1.0024 4.9666
0.0000 -2.0048 4.9666
Th Co B
1 1 2
Cartesian
0.0000 0.0000 0.0000
0.0000 0.0000 7.4499
0.0000 0.0000 2.8344
0.0000 0.0000 12.0654
```

Computed properties:
Total energy ... -29.258 eV for the cell shown
SG ... R-3m (166)
Theoretical density ... 10.01 g/cm3
Formation enthalpy at 0 K ... -0.344 eV/atom
Magnetization ... 0.0000 μB per atom

=====

7.
A relaxed structure of ThCo6B4. Source: the Alexandria database, functional GGA-PBE.

Structure (POSCAR):
```
ThCo6B4
1.0
3.7937 -3.4025 0.0000
3.7937 3.4025 0.0000
-1.7384 0.0000 4.6481
Th Co B
1 6 4
Cartesian
0.0000 0.0000 0.0000
-0.2925 0.0000 2.4668
3.1545 1.1708 3.5516
3.1174 0.0000 0.7790
5.1932 1.4330 1.8954
3.1545 -1.1708 3.5516
5.1932 -1.4330 1.8954
0.9902 0.9701 3.6883
1.8556 0.0000 2.3187
0.9902 -0.9701 3.6883
5.0256 0.0000 0.5371
```

Computed properties:
Total energy ... -78.375 eV for the cell shown
SG ... Cm (8)
Theoretical density ... 8.70 g/cm3
Formation enthalpy at 0 K ... -0.146 eV/atom
Magnetization ... 0.1231 μB per atom

=====

8.
A relaxed structure of ThCo3B3. Source: the Alexandria database, functional GGA-PBE.

Structure (POSCAR):
```
ThCo3B3
1.0
6.7313 0.0000 0.0000
0.0000 3.6640 0.0000
-2.6403 0.0000 6.7562
Th Co B
2 6 6
Cartesian
0.4122 0.9160 2.6047
3.6788 2.7480 4.1515
1.4417 2.7480 0.0307
-0.4563 0.9160 5.3437
2.8431 0.9160 1.0294
1.2479 2.7480 5.7268
4.5474 2.7480 1.4125
2.6493 0.9160 6.7255
-2.1433 0.9160 6.4572
-0.4241 2.7480 4.7608
2.3718 2.7480 1.7252
1.7193 0.9160 5.0311
4.5152 0.9160 1.9954
6.2343 2.7480 0.2990
```

Computed properties:
Total energy ... -101.448 eV for the cell shown
SG ... P2_1/m (11)
Theoretical density ... 8.79 g/cm3
Formation enthalpy at 0 K ... -0.279 eV/atom
Magnetization ... 0.0000 μB per atom